# 1
This record from the Open Quantum Materials Database describes TbPaPO after structural relaxation. The functional is PBE.

## Properties
* energy relative to the lowest polymorph listed for this composition: 0.0657 eV per atom
* spin magnetization: 0.1 Bohr magnetons per cell

Cell: 4.194 4.194 9.103 Å, 90.00 90.00 90.00°
Sites, in units of the cell vectors:
O  0.000  0.000  0.000
O  0.500  0.500  0.000
P  0.500  0.000  0.285
P  0.000  0.500  0.715
Pa  0.000  0.000  0.500
Pa  0.500  0.500  0.500
Tb  0.000  0.500  0.106
Tb  0.500  0.000  0.894

# 2
This record from the Open Quantum Materials Database describes Zr2CuTe4 after structural relaxation. The functional is PBE.

## Properties
* energy relative to the lowest polymorph listed for this composition: 0.3162 eV per atom
* spin magnetization: 0.6 Bohr magnetons per cell

Cell: 7.455 7.455 7.455 Å, 130.33 130.33 72.89°
Each line ends with the local moment (μB).
Sites, in units of the cell vectors:
Cu  0.000  0.000  0.000  0.00
Te  0.387  0.912  0.040  -0.01
Te  0.088  0.129  0.475  -0.01
Te  0.654  0.613  0.525  -0.01
Te  0.871  0.346  0.960  -0.01
Zr  0.500  0.500  0.000  0.19
Zr  0.250  0.750  0.500  0.21

# 3
This record from the Open Quantum Materials Database describes NbSiPt after structural relaxation. The functional is PBE.

## Properties
* calculated total energy: -0.5632 Ry/atom
* spin magnetization: 0.0 Bohr magnetons per cell

Cell: 5.003 3.962 9.852 Å, 90.00 90.00 90.00°
Sites, in units of the cell vectors:
Nb  0.263  0.250  0.175
Nb  0.763  0.250  0.325
Nb  0.237  0.750  0.675
Nb  0.737  0.750  0.825
Pt  0.799  0.250  0.027
Pt  0.299  0.250  0.473
Pt  0.701  0.750  0.527
Pt  0.201  0.750  0.973
Si  0.619  0.750  0.144
Si  0.119  0.750  0.356
Si  0.881  0.250  0.644
Si  0.381  0.250  0.856

# 4
This record from the Open Quantum Materials Database describes Pr2Y2CBr3Cl2 after structural relaxation. The functional is PBE.

## Properties
* energy relative to the lowest polymorph listed for this composition: 0.0010 eV per atom
* spin magnetization: 0.0 Bohr magnetons per cell

Cell: 9.173 9.173 8.498 Å, 102.93 102.93 24.56°
Sites, in units of the cell vectors:
Br  0.826  0.826  0.156
Br  0.500  0.500  0.500
Br  0.174  0.174  0.844
C  0.500  0.500  0.000
Cl  0.166  0.166  0.301
Cl  0.834  0.834  0.699
Pr  0.001  0.001  0.207
Pr  0.999  0.999  0.793
Y  0.638  0.638  0.070
Y  0.362  0.362  0.930